i) Material: LiHgBiPt
Method: DFT, PBE
State: relaxed

Calculated values
Symmetry: F-43m (216)
Calculated volume, Å³/cell: 81.8
M_tot, μB/atom: 0.00

Cell lengths 4.873, 4.873, 4.873 Å; angles 60.00, 60.00, 60.00 degrees
Fractional coordinates of all 4 atoms:
Li 0.750 0.750 0.750
Hg 0.250 0.250 0.250
Bi 0.000 0.000 0.000
Pt 0.500 0.500 0.500

***

ii) Material: LiHgBiPt
Method: DFT, PBE
State: relaxed

Calculated values
Symmetry: F-43m (216)
Calculated volume, Å³/cell: 79.9
M_tot, μB/atom: 0.00

Cell lengths 4.835, 4.835, 4.835 Å; angles 60.00, 60.00, 60.00 degrees
Fractional coordinates of all 4 atoms:
Li 0.750 0.750 0.750
Hg 0.000 0.000 0.000
Bi 0.500 0.500 0.500
Pt 0.250 0.250 0.250

***

ii) wins, 18.6 kJ/mol of atoms ahead of the next structure.

***

i) Material: NiHgBiMo
Method: DFT, PBE
State: relaxed

Calculated values
Symmetry: F-43m (216)
Calculated volume, Å³/cell: 73.8
M_tot, μB/atom: 0.00

Cell lengths 4.707, 4.707, 4.707 Å; angles 60.00, 60.00, 60.00 degrees
Fractional coordinates of all 4 atoms:
Hg 0.500 0.500 0.500
Ni 0.750 0.750 0.750
Bi 0.000 0.000 0.000
Mo 0.250 0.250 0.250

***

ii) Material: NiHgBiMo
Method: DFT, PBE
State: relaxed

Calculated values
Symmetry: F-43m (216)
Calculated volume, Å³/cell: 79.7
M_tot, μB/atom: 0.75

Cell lengths 4.831, 4.831, 4.831 Å; angles 60.00, 60.00, 60.00 degrees
Fractional coordinates of all 4 atoms:
Bi 0.000 0.000 0.000
Hg 0.250 0.250 0.250
Mo 0.500 0.500 0.500
Ni 0.750 0.750 0.750

***

i) wins, 15.2 kJ/mol of atoms ahead of the next structure.

***

i) Material: NaHgBiPt
Method: DFT, PBE
State: relaxed

Calculated values
Symmetry: F-43m (216)
Calculated volume, Å³/cell: 89.7
M_tot, μB/atom: 0.00

Cell lengths 5.026, 5.026, 5.026 Å; angles 60.00, 60.00, 60.00 degrees
Fractional coordinates of all 4 atoms:
Bi 0.250 0.250 0.250
Pt 0.500 0.500 0.500
Hg 0.000 0.000 0.000
Na 0.750 0.750 0.750

***

ii) Material: NaHgBiPt
Method: DFT, PBE
State: relaxed

Calculated values
Symmetry: F-43m (216)
Calculated volume, Å³/cell: 85.9
M_tot, μB/atom: 0.00

Cell lengths 4.953, 4.953, 4.953 Å; angles 60.00, 60.00, 60.00 degrees
Fractional coordinates of all 4 atoms:
Pt 0.250 0.250 0.250
Na 0.750 0.750 0.750
Hg 0.000 0.000 0.000
Bi 0.500 0.500 0.500

***

ii) wins, 6.0 kJ/mol of atoms ahead of the next structure.

***

i) Material: NbNiHgBi
Method: DFT, PBE
State: relaxed

Calculated values
Symmetry: F-43m (216)
Calculated volume, Å³/cell: 77.6
M_tot, μB/atom: 0.24

Cell lengths 4.788, 4.788, 4.788 Å; angles 60.00, 60.00, 60.00 degrees
Fractional coordinates of all 4 atoms:
Hg 0.500 0.500 0.500
Ni 0.750 0.750 0.750
Bi 0.000 0.000 0.000
Nb 0.250 0.250 0.250

***

ii) Material: NbNiHgBi
Method: DFT, PBE
State: relaxed

Calculated values
Symmetry: F-43m (216)
Calculated volume, Å³/cell: 81.6
M_tot, μB/atom: 0.48

Cell lengths 4.869, 4.869, 4.869 Å; angles 60.00, 60.00, 60.00 degrees
Fractional coordinates of all 4 atoms:
Hg 0.250 0.250 0.250
Ni 0.750 0.750 0.750
Nb 0.500 0.500 0.500
Bi 0.000 0.000 0.000

***

i) wins, 13.3 kJ/mol of atoms ahead of the next structure.

***

i) Material: NdHgBi
Method: DFT, PBE
State: relaxed

Calculated values
Symmetry: F-43m (216)
Calculated volume, Å³/cell: 105.0
M_tot, μB/atom: 0.00

Cell lengths 5.296, 5.296, 5.296 Å; angles 60.00, 60.00, 60.00 degrees
Fractional coordinates of all 3 atoms:
Nd 0.000 0.000 0.000
Bi 0.250 0.250 0.250
Hg 0.750 0.750 0.750

***

ii) Material: NdHgBi
Method: DFT, PBE
State: relaxed

Calculated values
Symmetry: F-43m (216)
Calculated volume, Å³/cell: 104.1
M_tot, μB/atom: 0.00

Cell lengths 5.280, 5.280, 5.280 Å; angles 60.00, 60.00, 60.00 degrees
Fractional coordinates of all 3 atoms:
Bi 0.000 0.000 0.000
Hg 0.250 0.250 0.250
Nd 0.750 0.750 0.750

***

i) wins, 23.7 kJ/mol of atoms ahead of the next structure.

***

i) Material: ScNiHgBi
Method: DFT, PBE
State: relaxed

Calculated values
Symmetry: F-43m (216)
Calculated volume, Å³/cell: 83.5
M_tot, μB/atom: 0.00

Cell lengths 4.905, 4.905, 4.905 Å; angles 60.00, 60.00, 60.00 degrees
Fractional coordinates of all 4 atoms:
Hg 0.250 0.250 0.250
Ni 0.750 0.750 0.750
Sc 0.500 0.500 0.500
Bi 0.000 0.000 0.000

***

ii) Material: ScNiHgBi
Method: DFT, PBE
State: relaxed

Calculated values
Symmetry: F-43m (216)
Calculated volume, Å³/cell: 81.6
M_tot, μB/atom: 0.00

Cell lengths 4.870, 4.870, 4.870 Å; angles 60.00, 60.00, 60.00 degrees
Fractional coordinates of all 4 atoms:
Ni 0.750 0.750 0.750
Sc 0.250 0.250 0.250
Bi 0.000 0.000 0.000
Hg 0.500 0.500 0.500

***

ii) wins, 4.2 kJ/mol of atoms ahead of the next structure.

***

i) Material: TaNiHgBi
Method: DFT, PBE
State: relaxed

Calculated values
Symmetry: F-43m (216)
Calculated volume, Å³/cell: 80.7
M_tot, μB/atom: 0.01

Cell lengths 4.851, 4.851, 4.851 Å; angles 60.00, 60.00, 60.00 degrees
Fractional coordinates of all 4 atoms:
Bi 0.000 0.000 0.000
Ta 0.500 0.500 0.500
Ni 0.750 0.750 0.750
Hg 0.250 0.250 0.250

***

ii) Material: TaNiHgBi
Method: DFT, PBE
State: relaxed

Calculated values
Symmetry: F-43m (216)
Calculated volume, Å³/cell: 77.8
M_tot, μB/atom: 0.12

Cell lengths 4.791, 4.791, 4.791 Å; angles 60.00, 60.00, 60.00 degrees
Fractional coordinates of all 4 atoms:
Bi 0.000 0.000 0.000
Ta 0.250 0.250 0.250
Ni 0.750 0.750 0.750
Hg 0.500 0.500 0.500

***

ii) wins, 12.5 kJ/mol of atoms ahead of the next structure.

***

i) Material: Hg2Bi2O5
Method: DFT, PBE
State: relaxed

Calculated values
Symmetry: P4/mmm (123)
Calculated volume, Å³/cell: 150.8

Cell lengths 8.917, 4.113, 4.113 Å; angles 90.00, 90.00, 90.00 degrees
Fractional coordinates of all 9 atoms:
Bi 0.746 0.500 0.500
Bi 0.254 0.500 0.500
Hg 0.000 0.000 0.000
Hg 0.500 0.000 0.000
O 0.837 0.000 0.500
O 0.163 0.500 0.000
O 0.837 0.500 0.000
O 0.500 0.500 0.500
O 0.163 0.000 0.500

***

ii) Material: Hg2Bi2O5
Method: DFT, PBE
State: relaxed

Calculated values
Symmetry: P4/mmm (123)
Calculated volume, Å³/cell: 147.6

Cell lengths 8.425, 4.186, 4.186 Å; angles 90.00, 90.00, 90.00 degrees
Fractional coordinates of all 9 atoms:
Hg 0.228 0.500 0.500
Hg 0.772 0.500 0.500
O 0.500 0.500 0.500
O 0.166 0.500 0.000
O 0.166 0.000 0.500
O 0.834 0.500 0.000
O 0.834 0.000 0.500
Bi 0.000 0.000 0.000
Bi 0.500 0.000 0.000

***

i) wins, 36.2 kJ/mol of atoms ahead of the next structure.

***

i) Material: HgBiPO
Method: DFT, PBE
State: relaxed

Calculated values
Symmetry: Pmc2_1 (26)
Calculated volume, Å³/cell: 178.9

Cell lengths 3.945, 6.531, 6.946 Å; angles 90.00, 90.00, 90.00 degrees
Fractional coordinates of all 8 atoms:
Bi 0.000 0.427 0.048
Bi 0.000 0.573 0.548
P 0.500 0.751 0.333
P 0.500 0.249 0.833
Hg 0.500 0.911 0.994
Hg 0.500 0.089 0.494
O 0.000 0.285 0.379
O 0.000 0.715 0.879

***

ii) Material: HgBiPO
Method: DFT, PBE
State: relaxed

Calculated values
Symmetry: P4/nmm (129)
Calculated volume, Å³/cell: 155.5

Cell lengths 4.120, 4.120, 9.161 Å; angles 90.00, 90.00, 90.00 degrees
Fractional coordinates of all 8 atoms:
O 0.500 0.500 0.000
O 0.000 0.000 0.000
P 0.000 0.500 0.699
P 0.500 0.000 0.301
Bi 0.000 0.500 0.130
Bi 0.500 0.000 0.870
Hg 0.000 0.000 0.500
Hg 0.500 0.500 0.500

***

iii) Material: HgBiPO
Method: DFT, PBE
State: relaxed

Calculated values
Symmetry: Pmc2_1 (26)
Calculated volume, Å³/cell: 177.3

Cell lengths 4.484, 6.407, 6.171 Å; angles 90.00, 90.00, 90.00 degrees
Fractional coordinates of all 8 atoms:
Bi 0.000 0.767 0.953
Bi 0.000 0.233 0.453
O 0.500 0.690 0.912
O 0.500 0.310 0.412
P 0.000 0.813 0.392
P 0.000 0.187 0.892
Hg 0.500 0.320 0.997
Hg 0.500 0.680 0.497

***

iv) Material: HgBiPO
Method: DFT, PBE
State: relaxed

Calculated values
Symmetry: P4/nmm (129)
Calculated volume, Å³/cell: 196.5

Cell lengths 4.780, 4.780, 8.601 Å; angles 90.00, 90.00, 90.00 degrees
Fractional coordinates of all 8 atoms:
P 0.000 0.500 0.666
P 0.500 0.000 0.334
Bi 0.000 0.000 0.500
Bi 0.500 0.500 0.500
Hg 0.500 0.000 0.010
Hg 0.000 0.500 0.990
O 0.000 0.000 0.000
O 0.500 0.500 0.000

***

ii) wins, 1.5 kJ/mol of atoms ahead of the next structure.

***

i) Material: HgBiTeO
Method: DFT, PBE
State: relaxed

Calculated values
Symmetry: P4/nmm (129)
Calculated volume, Å³/cell: 186.1

Cell lengths 4.220, 4.220, 10.452 Å; angles 90.00, 90.00, 90.00 degrees
Fractional coordinates of all 8 atoms:
Hg 0.250 0.750 0.500
Hg 0.750 0.250 0.500
O 0.250 0.750 0.000
O 0.750 0.250 0.000
Te 0.750 0.750 0.270
Te 0.250 0.250 0.730
Bi 0.750 0.750 0.889
Bi 0.250 0.250 0.111

***

ii) Material: HgBiTeO
Method: DFT, PBE
State: relaxed

Calculated values
Symmetry: Pmc2_1 (26)
Calculated volume, Å³/cell: 284.9

Cell lengths 5.194, 9.470, 5.791 Å; angles 90.00, 90.00, 90.00 degrees
Fractional coordinates of all 8 atoms:
O 0.500 0.925 0.687
O 0.500 0.075 0.187
Hg 0.000 0.681 0.629
Hg 0.000 0.319 0.129
Bi 0.500 0.868 0.041
Bi 0.500 0.132 0.541
Te 0.000 0.680 0.134
Te 0.000 0.320 0.634

***

i) wins, 2.1 kJ/mol of atoms ahead of the next structure.

***

i) Material: PuHgBi
Method: DFT, PBE
State: relaxed

Calculated values
Symmetry: F-43m (216)
Calculated volume, Å³/cell: 99.1
M_tot, μB/atom: 2.07

Cell lengths 5.195, 5.195, 5.195 Å; angles 60.00, 60.00, 60.00 degrees
Fractional coordinates of all 3 atoms:
Hg 0.250 0.250 0.250
Pu 0.750 0.750 0.750
Bi 0.000 0.000 0.000

***

ii) Material: PuHgBi
Method: DFT, PBE
State: relaxed

Calculated values
Symmetry: F-43m (216)
Calculated volume, Å³/cell: 99.8
M_tot, μB/atom: 1.72

Cell lengths 5.207, 5.207, 5.207 Å; angles 60.00, 60.00, 60.00 degrees
Fractional coordinates of all 3 atoms:
Pu 0.000 0.000 0.000
Bi 0.750 0.750 0.750
Hg 0.250 0.250 0.250

***

ii) wins, 14.0 kJ/mol of atoms ahead of the next structure.

***

i) Material: UHgBi
Method: DFT, PBE
State: relaxed

Calculated values
Symmetry: F-43m (216)
Calculated volume, Å³/cell: 94.7
M_tot, μB/atom: 1.01

Cell lengths 5.116, 5.116, 5.116 Å; angles 60.00, 60.00, 60.00 degrees
Fractional coordinates of all 3 atoms:
Bi 0.000 0.000 0.000
U 0.500 0.500 0.500
Hg 0.750 0.750 0.750

***

ii) Material: UHgBi
Method: DFT, PBE
State: relaxed

Calculated values
Symmetry: F-43m (216)
Calculated volume, Å³/cell: 99.4
M_tot, μB/atom: 1.00

Cell lengths 5.199, 5.199, 5.199 Å; angles 60.00, 60.00, 60.00 degrees
Fractional coordinates of all 3 atoms:
Bi 0.250 0.250 0.250
Hg 0.750 0.750 0.750
U 0.000 0.000 0.000

***

ii) wins, 18.3 kJ/mol of atoms ahead of the next structure.

***

i) Material: Ho3Lu3Bi2Os
Method: DFT, PBE
State: relaxed

Calculated values
Symmetry: P-62m (189)
Calculated volume, Å³/cell: 245.1
M_tot, μB/atom: 0.00

Cell lengths 8.211, 8.211, 4.198 Å; angles 90.00, 90.00, 120.00 degrees
Fractional coordinates of all 9 atoms:
Ho 0.000 0.237 0.500
Ho 0.763 0.763 0.500
Ho 0.237 0.000 0.500
Bi 0.667 0.333 0.500
Bi 0.333 0.667 0.500
Lu 0.000 0.619 0.000
Lu 0.619 0.000 0.000
Lu 0.381 0.381 0.000
Os 0.000 0.000 0.000

***

ii) Material: Ho3Lu3Bi2Os
Method: DFT, PBE
State: relaxed

Calculated values
Symmetry: P-62m (189)
Calculated volume, Å³/cell: 243.9
M_tot, μB/atom: 0.00

Cell lengths 8.166, 8.166, 4.224 Å; angles 90.00, 90.00, 120.00 degrees
Fractional coordinates of all 9 atoms:
Lu 0.231 0.000 0.500
Lu 0.000 0.231 0.500
Lu 0.769 0.769 0.500
Ho 0.000 0.615 0.000
Ho 0.615 0.000 0.000
Ho 0.385 0.385 0.000
Bi 0.333 0.667 0.500
Bi 0.667 0.333 0.500
Os 0.000 0.000 0.000

***

ii) wins, 7.2 kJ/mol of atoms ahead of the next structure.